This record from the Alexandria database describes LiVHO2 after structural relaxation. The functional is PBE+U.

Summary:
raw total energy = -3.964 eV per atom
theoretical density = 3.02 g/cm3

a b c (Å): 3.4294 4.2430 3.4294
angles (deg): 90.00 90.00 90.00
Closest atoms and distances in Å follow each position.
Positions (direct):
H: 0.5000 0.5000 0.5000  4 V 2.42
Li: 0.0000 0.0000 0.0000  4 O 1.71
O: 0.0000 0.0000 0.5000  2 Li 1.71
O: 0.5000 0.0000 0.0000  2 Li 1.71
V: 0.0000 0.5000 0.0000  2 Li 2.12

***

This record from the Alexandria database describes LiV2HO6 after structural relaxation. The functional is PBE+U.

Summary:
raw total energy = -6.744 eV per atom
theoretical density = 2.61 g/cm3

a b c (Å): 5.8418 6.8459 6.8459
angles (deg): 86.98 78.08 78.08
Closest atoms and distances in Å follow each position.
Positions (direct):
Li: 0.2500 0.8777 0.1223  2 O 1.99
Li: 0.7500 0.1223 0.8777  2 O 1.99
V: 0.2577 0.8138 0.6283  4 O 1.65-1.80
V: 0.2423 0.3717 0.1862  4 O 1.65-1.80
V: 0.7423 0.1862 0.3717  4 O 1.65-1.80
V: 0.7577 0.6283 0.8138  4 O 1.65-1.80
H: 0.2500 0.1150 0.8850  2 O 1.21
H: 0.7500 0.8850 0.1150  2 O 1.21
O: 0.1663 0.9992 0.8081  1 H 1.21
O: 0.3337 0.1919 0.0008  1 H 1.21
O: 0.8337 0.0008 0.1919  1 H 1.21
O: 0.6663 0.8081 0.9992  1 H 1.21
O: 0.2859 0.9106 0.4002  1 V 1.65
O: 0.2141 0.5998 0.0894  1 V 1.65
O: 0.7141 0.0894 0.5998  1 V 1.65
O: 0.7859 0.4002 0.9106  1 V 1.65
O: 0.0396 0.6576 0.6627  2 V 1.80
O: 0.4604 0.3373 0.3424  2 V 1.80
O: 0.9604 0.3424 0.3373  2 V 1.80
O: 0.5396 0.6627 0.6576  2 V 1.80